# 1
This record from Alexandria describes a relaxed structure of Bi2Se3. The functional is PBE.

The final energy is -20.190 eV per formula unit.

The structure belongs to space group C2/m (No. 12); the cell edges are 7.2571, 4.1891 and 10.5270 Å and the angles 90.00°, 103.34° and 90.00°. The inequivalent atoms are Bi at (0.1028, 0.0000, 0.3100), Se at (0.0000, 0.5000, 0.5000) and Se at (0.2183, 0.5000, 0.1569).

# 2
This record from Alexandria describes a relaxed structure of CdGaRuPt. The functional is PBE.

The final energy is -19.878 eV per formula unit.

The structure belongs to space group F-43m (No. 216); the cell edges are 6.3216, 6.3216 and 6.3216 Å and the angles 90.00°, 90.00° and 90.00°. The inequivalent atoms are Cd at (0.0000, 0.0000, 0.0000), Ga at (0.0000, 0.0000, 0.5000), Ru at (0.2500, 0.2500, 0.2500) and Pt at (0.2500, 0.2500, 0.7500).

# 3
This record from Alexandria describes a relaxed structure of CsCd2S3. The functional is PBE.

The final energy is -18.201 eV per formula unit.

The structure belongs to space group Pmc2_1 (No. 26); the cell edges are 3.8816, 12.2332 and 6.8843 Å and the angles 90.00°, 90.00° and 90.00°. The inequivalent atoms are Cs at (0.0000, 0.1272, 0.0000), Cd at (0.0000, 0.2522, 0.4965), Cd at (0.5000, 0.4859, 0.9953), S at (0.0000, 0.4149, 0.7444), S at (0.5000, 0.1168, 0.5589) and S at (0.5000, 0.3332, 0.2698).

# 4
This record from Alexandria describes a relaxed structure of Tm6TlCd3. The functional is PBE.

The final energy is -34.083 eV per formula unit.

The structure belongs to space group P2_1/m (No. 11); the cell edges are 9.2721, 5.2153 and 11.4627 Å and the angles 90.00°, 106.60° and 90.00°. The inequivalent atoms are Tm at (0.0397, 0.2500, 0.4095), Tm at (0.1505, 0.7500, 0.1781), Tm at (0.2488, 0.2500, 0.0002), Tm at (0.3343, 0.7500, 0.8053), Tm at (0.3677, 0.2500, 0.3271), Tm at (0.3942, 0.2500, 0.6147), Tl at (0.4511, 0.7500, 0.1097), Cd at (0.0278, 0.7500, 0.8795), Cd at (0.1181, 0.2500, 0.7140) and Cd at (0.2754, 0.7500, 0.4718).

# 5
This record from Alexandria describes a relaxed structure of Cd2InSnI. The functional is PBE.

The final energy is -9.976 eV per formula unit.

The structure belongs to space group P4/mmm (No. 123); the cell edges are 5.6247, 5.6247 and 5.9603 Å and the angles 90.00°, 90.00° and 90.00°. The inequivalent atoms are Cd at (0.0000, 0.5000, 0.0000), In at (0.0000, 0.0000, 0.5000), Sn at (0.0000, 0.0000, 0.0000) and I at (0.5000, 0.5000, 0.5000).

# 6
This record from Alexandria describes a relaxed structure of Cd2CuOs. The functional is PBE.

The final energy is -15.412 eV per formula unit.

The structure belongs to space group Cmmm (No. 65); the cell edges are 5.7553, 8.1749 and 2.8430 Å and the angles 90.00°, 90.00° and 90.00°. The inequivalent atoms are Cd at (0.2500, 0.2500, 0.0000), Cu at (0.0000, 0.0000, 0.5000) and Os at (0.0000, 0.5000, 0.5000).

# 7
This record from Alexandria describes a relaxed structure of SrCaAu2. The functional is PBE.

The final energy is -12.928 eV per formula unit.

The structure belongs to space group C2/m (No. 12); the cell edges are 7.6875, 4.4657 and 7.5166 Å and the angles 90.00°, 110.31° and 90.00°. The inequivalent atoms are Sr at (0.0000, 0.0000, 0.0000), Ca at (0.0000, 0.5000, 0.5000) and Au at (0.2423, 0.0000, 0.7277).

# 8
This record from Alexandria describes a relaxed structure of K2ZrAu2. The functional is PBE.

The final energy is -15.534 eV per formula unit.

The structure belongs to space group P4/mbm (No. 127); the cell edges are 9.3223, 9.3223 and 2.9614 Å and the angles 90.00°, 90.00° and 90.00°. The inequivalent atoms are K at (0.1172, 0.3828, 0.0000), Zr at (0.0000, 0.0000, 0.0000) and Au at (0.1856, 0.6856, 0.5000).